# Rb3DyTe3 (PBE, optimized geometry)
data_Rb3DyTe3
_chemical_formula_sum 'Rb12 Dy4 Te12'
_symmetry_space_group_name_H-M 'C 1 2/m 1'
_symmetry_Int_Tables_number 12
_symmetry_space_group_name_Hall '-C 2y'
_cell_length_a 10.124
_cell_length_b 15.596
_cell_length_c 8.988
_cell_angle_alpha 90.00
_cell_angle_beta 100.45
_cell_angle_gamma 90.00
loop_
_atom_site_label
_atom_site_fract_x
_atom_site_fract_y
_atom_site_fract_z
_atom_site_occupancy
Rb1 0.000 0.177 0.000 1
Rb2 0.000 0.245 0.500 1
Rb3 0.111 0.500 0.864 1
Dy1 0.178 0.000 0.643 1
Te1 0.103 0.000 0.305 1
Te2 0.188 0.348 0.222 1
# Raw formation energy = -794 kJ/mol of formula units
# Magnetic moment = 0.0 μB per formula unit